A plane-wave DFT calculation with PBE was carried out for a geometry-optimized LiPbAu2 structure.

As for the final energy: -3.166 eV per atom.

Cell: 9.3368 9.3368 9.3368 Å, 19.83 19.83 19.83°
Last column: nearest neighbours and their distance in Å.
Fractional coordinates of all 4 atoms:
Li  0.2500  0.2500  0.2500  6 Au 2.72
Pb  0.7500  0.7500  0.7500  6 Au 3.19, 6 Pb 3.21
Au  0.9890  0.9890  0.9890  3 Li 2.72
Au  0.5110  0.5110  0.5110  3 Li 2.72